*A*
# InFeCl2 | Alexandria | GGA-PBE | optimized geometry
# spin magnetization	3.27	μB/cell
# Fermi-level density of states	2.32	states/eV/cell
# space group	No. 123
data_InFeCl2
_chemical_formula_sum 'In1 Fe1 Cl2'
_cell_length_a 5.148
_cell_length_b 5.148
_cell_length_c 3.401
_cell_angle_alpha 90.00
_cell_angle_beta 90.00
_cell_angle_gamma 90.00
_symmetry_space_group_name_H-M 'P 1'
_symmetry_Int_Tables_number 1
loop_
_symmetry_equiv_pos_as_xyz
'x,y,z'
loop_
_atom_site_label
_atom_site_type_symbol
_atom_site_fract_x
_atom_site_fract_y
_atom_site_fract_z
In1 In 0.000 0.000 0.000
Fe1 Fe 0.500 0.500 0.000
Cl1 Cl 0.000 0.500 0.500
Cl2 Cl 0.500 0.000 0.500

=====

*B*
# InFeCl2 | Alexandria | GGA-PBE | optimized geometry
# spin magnetization	3.03	μB/cell
# Fermi-level density of states	3.76	states/eV/cell
# space group	No. 44
data_InFeCl2
_chemical_formula_sum 'In1 Fe1 Cl2'
_cell_length_a 5.887
_cell_length_b 5.887
_cell_length_c 5.887
_cell_angle_alpha 147.36
_cell_angle_beta 112.70
_cell_angle_gamma 76.82
_symmetry_space_group_name_H-M 'P 1'
_symmetry_Int_Tables_number 1
loop_
_symmetry_equiv_pos_as_xyz
'x,y,z'
loop_
_atom_site_label
_atom_site_type_symbol
_atom_site_fract_x
_atom_site_fract_y
_atom_site_fract_z
In1 In 0.000 0.000 0.000
Fe1 Fe 0.766 0.266 0.500
Cl1 Cl 0.231 0.731 0.500
Cl2 Cl 0.589 0.589 0.000

=====

*C*
# InFeCl2 | Alexandria | GGA-PBE | optimized geometry
# spin magnetization	3.55	μB/cell
# Fermi-level density of states	2.48	states/eV/cell
# space group	No. 10
data_InFeCl2
_chemical_formula_sum 'In1 Fe1 Cl2'
_cell_length_a 3.388
_cell_length_b 3.314
_cell_length_c 9.221
_cell_angle_alpha 90.00
_cell_angle_beta 90.57
_cell_angle_gamma 90.00
_symmetry_space_group_name_H-M 'P 1'
_symmetry_Int_Tables_number 1
loop_
_symmetry_equiv_pos_as_xyz
'x,y,z'
loop_
_atom_site_label
_atom_site_type_symbol
_atom_site_fract_x
_atom_site_fract_y
_atom_site_fract_z
In1 In 0.000 0.000 0.000
Fe1 Fe 0.000 0.000 0.500
Cl1 Cl 0.022 0.500 0.682
Cl2 Cl 0.978 0.500 0.318

=====

*D*
# InFeCl2 | Alexandria | GGA-PBE | optimized geometry
# spin magnetization	3.59	μB/cell
# Fermi-level density of states	1.53	states/eV/cell
# space group	No. 65
data_InFeCl2
_chemical_formula_sum 'In1 Fe1 Cl2'
_cell_length_a 3.674
_cell_length_b 3.674
_cell_length_c 9.365
_cell_angle_alpha 90.00
_cell_angle_beta 90.00
_cell_angle_gamma 126.80
_symmetry_space_group_name_H-M 'P 1'
_symmetry_Int_Tables_number 1
loop_
_symmetry_equiv_pos_as_xyz
'x,y,z'
loop_
_atom_site_label
_atom_site_type_symbol
_atom_site_fract_x
_atom_site_fract_y
_atom_site_fract_z
In1 In 0.000 0.000 0.000
Fe1 Fe 0.000 0.000 0.500
Cl1 Cl 0.500 0.500 0.318
Cl2 Cl 0.500 0.500 0.682

=====

Relative energies in meV per atom: *A* 395; *B* 120; *C* 6; *D* 0

=====

*A*
# InFeCl2 | Alexandria | GGA-PBE | optimized geometry
# spin magnetization	3.18	μB/cell
# Fermi-level density of states	1.85	states/eV/cell
# space group	No. 225
data_InFeCl2
_chemical_formula_sum 'In1 Fe1 Cl2'
_cell_length_a 5.001
_cell_length_b 5.001
_cell_length_c 5.001
_cell_angle_alpha 60.00
_cell_angle_beta 60.00
_cell_angle_gamma 60.00
_symmetry_space_group_name_H-M 'P 1'
_symmetry_Int_Tables_number 1
loop_
_symmetry_equiv_pos_as_xyz
'x,y,z'
loop_
_atom_site_label
_atom_site_type_symbol
_atom_site_fract_x
_atom_site_fract_y
_atom_site_fract_z
In1 In 0.000 0.000 0.000
Fe1 Fe 0.500 0.500 0.500
Cl1 Cl 0.250 0.250 0.250
Cl2 Cl 0.750 0.750 0.750

=====

*B*
# InFeCl2 | Alexandria | GGA-PBE | optimized geometry
# spin magnetization	3.06	μB/cell
# Fermi-level density of states	6.94	states/eV/cell
# space group	No. 216
data_InFeCl2
_chemical_formula_sum 'In1 Fe1 Cl2'
_cell_length_a 4.962
_cell_length_b 4.962
_cell_length_c 4.962
_cell_angle_alpha 60.00
_cell_angle_beta 60.00
_cell_angle_gamma 60.00
_symmetry_space_group_name_H-M 'P 1'
_symmetry_Int_Tables_number 1
loop_
_symmetry_equiv_pos_as_xyz
'x,y,z'
loop_
_atom_site_label
_atom_site_type_symbol
_atom_site_fract_x
_atom_site_fract_y
_atom_site_fract_z
In1 In 0.000 0.000 0.000
Fe1 Fe 0.250 0.250 0.250
Cl1 Cl 0.500 0.500 0.500
Cl2 Cl 0.750 0.750 0.750

=====

*C*
# InFeCl2 | Alexandria | GGA-PBE | optimized geometry
# spin magnetization	3.11	μB/cell
# Fermi-level density of states	2.10	states/eV/cell
# space group	No. 160
data_InFeCl2
_chemical_formula_sum 'In1 Fe1 Cl2'
_cell_length_a 9.077
_cell_length_b 9.077
_cell_length_c 9.077
_cell_angle_alpha 21.97
_cell_angle_beta 21.97
_cell_angle_gamma 21.97
_symmetry_space_group_name_H-M 'P 1'
_symmetry_Int_Tables_number 1
loop_
_symmetry_equiv_pos_as_xyz
'x,y,z'
loop_
_atom_site_label
_atom_site_type_symbol
_atom_site_fract_x
_atom_site_fract_y
_atom_site_fract_z
In1 In 0.000 0.000 0.000
Fe1 Fe 0.258 0.258 0.258
Cl1 Cl 0.541 0.541 0.541
Cl2 Cl 0.737 0.737 0.737

=====

*D*
# InFeCl2 | Alexandria | GGA-PBE | optimized geometry
# spin magnetization	3.31	μB/cell
# Fermi-level density of states	3.25	states/eV/cell
# space group	No. 166
data_InFeCl2
_chemical_formula_sum 'In1 Fe1 Cl2'
_cell_length_a 9.126
_cell_length_b 9.126
_cell_length_c 9.126
_cell_angle_alpha 21.87
_cell_angle_beta 21.87
_cell_angle_gamma 21.87
_symmetry_space_group_name_H-M 'P 1'
_symmetry_Int_Tables_number 1
loop_
_symmetry_equiv_pos_as_xyz
'x,y,z'
loop_
_atom_site_label
_atom_site_type_symbol
_atom_site_fract_x
_atom_site_fract_y
_atom_site_fract_z
In1 In 0.000 0.000 0.000
Fe1 Fe 0.500 0.500 0.500
Cl1 Cl 0.221 0.221 0.221
Cl2 Cl 0.779 0.779 0.779

=====

Relative energies in meV per atom: *A* 485; *B* 727; *C* 0; *D* 10

=====

*A*
# InFe2Cl | Alexandria | GGA-PBE | optimized geometry
# spin magnetization	5.47	μB/cell
# Fermi-level density of states	3.86	states/eV/cell
# space group	No. 166
data_InFe2Cl
_chemical_formula_sum 'In1 Fe2 Cl1'
_cell_length_a 8.304
_cell_length_b 8.304
_cell_length_c 8.304
_cell_angle_alpha 21.17
_cell_angle_beta 21.17
_cell_angle_gamma 21.17
_symmetry_space_group_name_H-M 'P 1'
_symmetry_Int_Tables_number 1
loop_
_symmetry_equiv_pos_as_xyz
'x,y,z'
loop_
_atom_site_label
_atom_site_type_symbol
_atom_site_fract_x
_atom_site_fract_y
_atom_site_fract_z
In1 In 0.000 0.000 0.000
Fe1 Fe 0.243 0.243 0.243
Fe2 Fe 0.757 0.757 0.757
Cl1 Cl 0.500 0.500 0.500

=====

*B*
# InFe2Cl | Alexandria | GGA-PBE | optimized geometry
# spin magnetization	5.41	μB/cell
# Fermi-level density of states	3.71	states/eV/cell
# space group	No. 71
data_InFe2Cl
_chemical_formula_sum 'In1 Fe2 Cl1'
_cell_length_a 5.313
_cell_length_b 5.313
_cell_length_c 5.313
_cell_angle_alpha 148.30
_cell_angle_beta 118.79
_cell_angle_gamma 70.58
_symmetry_space_group_name_H-M 'P 1'
_symmetry_Int_Tables_number 1
loop_
_symmetry_equiv_pos_as_xyz
'x,y,z'
loop_
_atom_site_label
_atom_site_type_symbol
_atom_site_fract_x
_atom_site_fract_y
_atom_site_fract_z
In1 In 0.000 0.000 0.000
Fe1 Fe 0.271 0.771 0.500
Fe2 Fe 0.729 0.229 0.500
Cl1 Cl 0.500 0.500 0.000

=====

*C*
# InFe2Cl | Alexandria | GGA-PBE | optimized geometry
# spin magnetization	5.51	μB/cell
# Fermi-level density of states	3.02	states/eV/cell
# space group	No. 6
data_InFe2Cl
_chemical_formula_sum 'In1 Fe2 Cl1'
_cell_length_a 3.239
_cell_length_b 3.009
_cell_length_c 7.833
_cell_angle_alpha 90.00
_cell_angle_beta 101.11
_cell_angle_gamma 90.00
_symmetry_space_group_name_H-M 'P 1'
_symmetry_Int_Tables_number 1
loop_
_symmetry_equiv_pos_as_xyz
'x,y,z'
loop_
_atom_site_label
_atom_site_type_symbol
_atom_site_fract_x
_atom_site_fract_y
_atom_site_fract_z
In1 In 0.000 0.000 0.000
Fe1 Fe 0.181 0.000 0.382
Fe2 Fe 0.603 0.500 0.221
Cl1 Cl 0.291 0.500 0.613

=====

Relative energies in meV per atom: *A* 274; *B* 339; *C* 0

=====

*A*
# InFe2Cl | Alexandria | GGA-PBE | optimized geometry
# spin magnetization	5.42	μB/cell
# Fermi-level density of states	4.34	states/eV/cell
# space group	No. 47
data_InFe2Cl
_chemical_formula_sum 'In1 Fe2 Cl1'
_cell_length_a 2.914
_cell_length_b 4.541
_cell_length_c 5.197
_cell_angle_alpha 90.00
_cell_angle_beta 90.00
_cell_angle_gamma 90.00
_symmetry_space_group_name_H-M 'P 1'
_symmetry_Int_Tables_number 1
loop_
_symmetry_equiv_pos_as_xyz
'x,y,z'
loop_
_atom_site_label
_atom_site_type_symbol
_atom_site_fract_x
_atom_site_fract_y
_atom_site_fract_z
In1 In 0.000 0.000 0.000
Fe1 Fe 0.000 0.500 0.500
Fe2 Fe 0.500 0.500 0.000
Cl1 Cl 0.500 0.000 0.500

=====

*B*
# InFe2Cl | Alexandria | GGA-PBE | optimized geometry
# spin magnetization	5.78	μB/cell
# Fermi-level density of states	4.66	states/eV/cell
# space group	No. 123
data_InFe2Cl
_chemical_formula_sum 'In1 Fe2 Cl1'
_cell_length_a 2.963
_cell_length_b 2.963
_cell_length_c 7.461
_cell_angle_alpha 90.00
_cell_angle_beta 90.00
_cell_angle_gamma 90.00
_symmetry_space_group_name_H-M 'P 1'
_symmetry_Int_Tables_number 1
loop_
_symmetry_equiv_pos_as_xyz
'x,y,z'
loop_
_atom_site_label
_atom_site_type_symbol
_atom_site_fract_x
_atom_site_fract_y
_atom_site_fract_z
In1 In 0.000 0.000 0.000
Fe1 Fe 0.500 0.500 0.268
Fe2 Fe 0.500 0.500 0.732
Cl1 Cl 0.000 0.000 0.500

=====

Relative energies in meV per atom: *A* 44; *B* 0